(1)
! Ac5ZnAg4, relaxed, DFT PBE; values from VASP
&SYSTEM
  ibrav = 0, nat = 10, ntyp = 3
/
ATOMIC_SPECIES
Ac 227.00 Ac.upf
Zn 65.41 Zn.upf
Ag 107.87 Ag.upf
ATOMIC_POSITIONS crystal
Ac 0.000 0.000 0.000
Ac 0.000 0.000 0.201
Ac 0.000 0.000 0.403
Ac 0.000 0.000 0.597
Ac 0.000 0.000 0.799
Zn 0.500 0.500 0.500
Ag 0.500 0.500 0.100
Ag 0.500 0.500 0.301
Ag 0.500 0.500 0.699
Ag 0.500 0.500 0.900
CELL_PARAMETERS angstrom
3.947 0.000 0.000
0.000 3.947 0.000
0.000 0.000 19.824
! - Symmetry: P4/mmm (123)
! - E: -3.58 eV per atom
! - Density of states at the Fermi level: 0.65 states/eV/atom
! - Energy of formation from the pure elements: -0.2620 eV per atom

(2)
! Co2PtW, relaxed, DFT PBE; values from VASP
&SYSTEM
  ibrav = 0, nat = 4, ntyp = 3
/
ATOMIC_SPECIES
Co 58.93 Co.upf
Pt 195.08 Pt.upf
W 183.84 W.upf
ATOMIC_POSITIONS crystal
Co 0.248 0.248 0.230
Co 0.752 0.752 0.770
Pt 0.000 0.000 0.500
W 0.500 0.500 0.000
CELL_PARAMETERS angstrom
4.309 -1.352 0.000
4.309 1.352 0.000
-0.848 0.000 4.646
! - Symmetry: C2/m (12)
! - E: -8.29 eV per atom
! - Energy above the lowest structure with this stoichiometry: 0.1305 eV per atom
! - Density of states at the Fermi level: 1.03 states/eV/atom
! - Energy of formation from the pure elements: 0.0098 eV per atom

(3)
! Gd2PuTl, relaxed, DFT PBE; values from VASP
&SYSTEM
  ibrav = 0, nat = 4, ntyp = 3
/
ATOMIC_SPECIES
Gd 157.25 Gd.upf
Pu 244.00 Pu.upf
Tl 204.38 Tl.upf
ATOMIC_POSITIONS crystal
Gd 0.250 0.250 0.250
Gd 0.750 0.750 0.750
Pu 0.000 0.000 0.000
Tl 0.500 0.500 0.500
CELL_PARAMETERS angstrom
0.000 3.856 3.856
3.856 0.000 3.856
3.856 3.856 0.000
! - Symmetry: Fm-3m (225)
! - E: -11.22 eV per atom
! - Energy above the lowest structure with this stoichiometry: 0.0820 eV per atom
! - Density of states at the Fermi level: 4.20 states/eV/atom
! - Energy of formation from the pure elements: -0.0078 eV per atom

Please write out number 2 again, unchanged.
! Co2PtW, relaxed, DFT PBE; values from VASP
&SYSTEM
  ibrav = 0, nat = 4, ntyp = 3
/
ATOMIC_SPECIES
Co 58.93 Co.upf
Pt 195.08 Pt.upf
W 183.84 W.upf
ATOMIC_POSITIONS crystal
Co 0.248 0.248 0.230
Co 0.752 0.752 0.770
Pt 0.000 0.000 0.500
W 0.500 0.500 0.000
CELL_PARAMETERS angstrom
4.309 -1.352 0.000
4.309 1.352 0.000
-0.848 0.000 4.646
! - Symmetry: C2/m (12)
! - E: -8.29 eV per atom
! - Energy above the lowest structure with this stoichiometry: 0.1305 eV per atom
! - Density of states at the Fermi level: 1.03 states/eV/atom
! - Energy of formation from the pure elements: 0.0098 eV per atom